Here is crystalline Pr2TlBiO5 at its relaxed geometry from the Alexandria database. Energies are from PBE.

Formation energy (no corrections): -2.03 eV/atom
Volume: 17.70 Å³/atom
Crystal system: tetragonal

Cell and atoms, written as CIF:
```
data_Pr2TlBiO5
_symmetry_space_group_name_H-M 'P 4/m b m'
_symmetry_Int_Tables_number 127
_symmetry_space_group_name_Hall '-P 4 2ab'
_cell_length_a 6.968
_cell_length_b 6.968
_cell_length_c 6.562
_cell_angle_alpha 90.00
_cell_angle_beta 90.00
_cell_angle_gamma 90.00
loop_
_atom_site_label
_atom_site_fract_x
_atom_site_fract_y
_atom_site_fract_z
Pr1 0.176 0.324 0.000
Tl1 0.000 0.000 0.500
Bi1 0.000 0.500 0.500
O1 0.000 0.000 0.000
O2 0.142 0.642 0.228
```

Here is crystalline Pr2TmBi2O2 at its relaxed geometry from the Alexandria database. Energies are from PBE.

Formation energy (no corrections): -1.90 eV/atom
Volume: 23.21 Å³/atom
Crystal system: tetragonal

Cell and atoms, written as CIF:
```
data_Pr2TmBi2O2
_symmetry_space_group_name_H-M 'I 4/m m m'
_symmetry_Int_Tables_number 139
_symmetry_space_group_name_Hall '-I 4 2'
_cell_length_a 4.374
_cell_length_b 4.374
_cell_length_c 16.986
_cell_angle_alpha 90.00
_cell_angle_beta 90.00
_cell_angle_gamma 90.00
loop_
_atom_site_label
_atom_site_fract_x
_atom_site_fract_y
_atom_site_fract_z
Pr1 0.000 0.000 0.109
Tm1 0.000 0.000 0.500
Bi1 0.000 0.000 0.311
O1 0.000 0.500 0.000
```

Here is crystalline PrTmBiO2 at its relaxed geometry from the Alexandria database. Energies are from PBE.

Formation energy (no corrections): -2.63 eV/atom
Volume: 21.56 Å³/atom
Crystal system: orthorhombic

Cell and atoms, written as CIF:
```
data_PrTmBiO2
_symmetry_space_group_name_H-M 'C m c m'
_symmetry_Int_Tables_number 63
_symmetry_space_group_name_Hall '-C 2c 2'
_cell_length_a 5.602
_cell_length_b 13.808
_cell_length_c 5.575
_cell_angle_alpha 90.00
_cell_angle_beta 90.00
_cell_angle_gamma 90.00
loop_
_atom_site_label
_atom_site_fract_x
_atom_site_fract_y
_atom_site_fract_z
Pr1 0.000 0.090 0.250
Tm1 0.000 0.425 0.250
Bi1 0.000 0.250 0.750
O1 0.240 0.500 0.000
```

Here is crystalline PrUBiO6 at its relaxed geometry from the Alexandria database. Energies are from PBE.

Formation energy (no corrections): -2.62 eV/atom
Volume: 16.29 Å³/atom
Crystal system: trigonal

Cell and atoms, written as CIF:
```
data_PrUBiO6
_symmetry_space_group_name_H-M 'P -3 1 c'
_symmetry_Int_Tables_number 163
_symmetry_space_group_name_Hall '-P 3 2c'
_cell_length_a 6.0166
_cell_length_b 6.0166
_cell_length_c 9.3532
_cell_angle_alpha 90.00
_cell_angle_beta 90.00
_cell_angle_gamma 120.00
loop_
_atom_site_label
_atom_site_fract_x
_atom_site_fract_y
_atom_site_fract_z
Pr1 0.3333 0.6667 0.2500
U1 0.3333 0.6667 0.7500
Bi1 0.0000 0.0000 0.0000
O1 0.0379 0.3656 0.6331
```